Entry w
The following is a PBE calculation of a geometry-optimized Cs3CdPt structure, from Alexandria.

The total magnetization comes out at 0.0000 μB/atom. The density of states at the Fermi level comes out at 13.8 states/eV per cell.

The space group is P4_2/mnm (No. 136) and the conventional cell measures 15.971, 15.971 and 5.298 Å, with angles of 90.00, 90.00 and 90.00 degrees. The asymmetric unit holds Cs at (0.095, 0.095, 0.000), Cs at (0.108, 0.679, 0.000), Cd at (0.118, 0.882, 0.500) and Pt at (0.117, 0.883, 0.000).

=====

Entry x
The following is a PBE calculation of a geometry-optimized Cs3CdPt structure, from Alexandria.

The total magnetization comes out at 0.0013 μB/atom. The density of states at the Fermi level comes out at 4.3 states/eV per cell.

The space group is Pm-3m (No. 221) and the conventional cell measures 6.851, 6.851 and 6.851 Å, with angles of 90.00, 90.00 and 90.00 degrees. The asymmetric unit holds Cs at (0.000, 0.000, 0.500), Cd at (0.000, 0.000, 0.000) and Pt at (0.500, 0.500, 0.500).

=====

We find entry w to be the most stable, with the next structure 640 meV/atom higher.

=====

Entry w
The following is a PBE calculation of a geometry-optimized CsCd2Pt structure, from Alexandria.

The total magnetization comes out at 0.0000 μB/atom. The density of states at the Fermi level comes out at 5.2 states/eV per cell.

The space group is Immm (No. 71) and the conventional cell measures 5.422, 7.497 and 15.678 Å, with angles of 90.00, 90.00 and 90.00 degrees. The asymmetric unit holds Cs at (0.000, 0.000, 0.164), Cd at (0.000, 0.309, 0.500), Cd at (0.000, 0.500, 0.156) and Pt at (0.243, 0.500, 0.000).

=====

Entry x
The following is a PBE calculation of a geometry-optimized CsCd2Pt structure, from Alexandria.

The total magnetization comes out at 0.0000 μB/atom. The density of states at the Fermi level comes out at 5.8 states/eV per cell.

The space group is Pnma (No. 62) and the conventional cell measures 9.281, 5.210 and 11.351 Å, with angles of 90.00, 90.00 and 90.00 degrees. The asymmetric unit holds Cs at (0.136, 0.250, 0.110), Cd at (0.077, 0.250, 0.439), Cd at (0.140, 0.250, 0.759) and Pt at (0.104, 0.750, 0.363).

=====

Entry y
The following is a PBE calculation of a geometry-optimized CsCd2Pt structure, from Alexandria.

The total magnetization comes out at 0.0000 μB/atom. The density of states at the Fermi level comes out at 9.6 states/eV per cell.

The space group is Fm-3m (No. 225) and the conventional cell measures 7.658, 7.658 and 7.658 Å, with angles of 90.00, 90.00 and 90.00 degrees. The asymmetric unit holds Cs at (0.000, 0.000, 0.000), Cd at (0.250, 0.250, 0.250) and Pt at (0.000, 0.000, 0.500).

=====

Entry z
The following is a PBE calculation of a geometry-optimized CsCd2Pt structure, from Alexandria.

The total magnetization comes out at 0.0000 μB/atom. The density of states at the Fermi level comes out at 5.7 states/eV per cell.

The space group is R-3m (No. 166, hexagonal axes) and the conventional cell measures 4.7983, 4.7983 and 20.0203 Å, with angles of 90.00, 90.00 and 120.00 degrees. The asymmetric unit holds Cs at (0.0000, 0.0000, 0.0000), Cd at (0.0000, 0.0000, 0.1907) and Pt at (0.0000, 0.0000, 0.5000).

=====

We find entry z to be the most stable, with the next structure 13 meV/atom higher.

=====

Entry w
The following is a PBE calculation of a geometry-optimized Cs2CdPt2 structure, from Alexandria.

The total magnetization comes out at 0.0000 μB/atom. The density of states at the Fermi level comes out at 1.5 states/eV per cell.

The space group is P4/mbm (No. 127) and the conventional cell measures 7.180, 7.180 and 5.804 Å, with angles of 90.00, 90.00 and 90.00 degrees. The asymmetric unit holds Cs at (0.179, 0.321, 0.000), Cd at (0.000, 0.000, 0.500) and Pt at (0.128, 0.628, 0.500).

=====

Entry x
The following is a PBE calculation of a geometry-optimized Cs2CdPt2 structure, from Alexandria.

The total magnetization comes out at 0.0000 μB/atom. The density of states at the Fermi level comes out at 9.1 states/eV per cell.

The space group is R-3m (No. 166, hexagonal axes) and the conventional cell measures 4.7747, 4.7747 and 32.8555 Å, with angles of 90.00, 90.00 and 120.00 degrees. The asymmetric unit holds Cs at (0.0000, 0.0000, 0.0761), Cd at (0.0000, 0.0000, 0.5000) and Pt at (0.0000, 0.0000, 0.1728).

=====

We find entry x to be the most stable, with the next structure 233 meV/atom higher.

=====

Entry w
The following is a PBE calculation of a geometry-optimized Cs2RbCdPt structure, from Alexandria.

The total magnetization comes out at 0.1796 μB/atom. The density of states at the Fermi level comes out at 4.3 states/eV per cell.

The space group is P4/mmm (No. 123) and the conventional cell measures 6.689, 6.689 and 6.504 Å, with angles of 90.00, 90.00 and 90.00 degrees. The asymmetric unit holds Cs at (0.000, 0.500, 0.000), Rb at (0.000, 0.000, 0.500), Cd at (0.500, 0.500, 0.500) and Pt at (0.000, 0.000, 0.000).

=====

Entry x
The following is a PBE calculation of a geometry-optimized Cs2RbCdPt structure, from Alexandria.

The total magnetization comes out at 0.0000 μB/atom. The density of states at the Fermi level comes out at 2.9 states/eV per cell.

The space group is P4/mmm (No. 123) and the conventional cell measures 6.868, 6.868 and 5.419 Å, with angles of 90.00, 90.00 and 90.00 degrees. The asymmetric unit holds Cs at (0.000, 0.500, 0.000), Rb at (0.000, 0.000, 0.500), Cd at (0.500, 0.500, 0.500) and Pt at (0.500, 0.500, 0.000).

=====

We find entry x to be the most stable, with the next structure 98 meV/atom higher.

=====

Entry w
The following is a PBE calculation of a geometry-optimized CsTl2CdPt structure, from Alexandria.

The total magnetization comes out at 0.0000 μB/atom. The density of states at the Fermi level comes out at 2.8 states/eV per cell.

The space group is P4/mmm (No. 123) and the conventional cell measures 5.484, 5.484 and 5.465 Å, with angles of 90.00, 90.00 and 90.00 degrees. The asymmetric unit holds Cs at (0.000, 0.000, 0.000), Tl at (0.000, 0.500, 0.500), Cd at (0.500, 0.500, 0.000) and Pt at (0.500, 0.500, 0.500).

=====

Entry x
The following is a PBE calculation of a geometry-optimized CsTl2CdPt structure, from Alexandria.

The total magnetization comes out at 0.0000 μB/atom. The density of states at the Fermi level comes out at 3.4 states/eV per cell.

The space group is P4/mmm (No. 123) and the conventional cell measures 5.381, 5.381 and 6.684 Å, with angles of 90.00, 90.00 and 90.00 degrees. The asymmetric unit holds Cs at (0.000, 0.000, 0.000), Tl at (0.000, 0.500, 0.500), Cd at (0.500, 0.500, 0.000) and Pt at (0.000, 0.000, 0.500).

=====

We find entry w to be the most stable, with the next structure 156 meV/atom higher.

=====

Entry w
The following is a PBE calculation of a geometry-optimized Cs2TlCdPt structure, from Alexandria.

The total magnetization comes out at 0.0000 μB/atom. The density of states at the Fermi level comes out at 2.9 states/eV per cell.

The space group is P4/mmm (No. 123) and the conventional cell measures 6.775, 6.775 and 5.300 Å, with angles of 90.00, 90.00 and 90.00 degrees. The asymmetric unit holds Cs at (0.000, 0.500, 0.000), Tl at (0.000, 0.000, 0.500), Cd at (0.500, 0.500, 0.500) and Pt at (0.000, 0.000, 0.000).

=====

Entry x
The following is a PBE calculation of a geometry-optimized Cs2TlCdPt structure, from Alexandria.

The total magnetization comes out at 0.0615 μB/atom. The density of states at the Fermi level comes out at 4.7 states/eV per cell.

The space group is P4/mmm (No. 123) and the conventional cell measures 6.691, 6.691 and 5.247 Å, with angles of 90.00, 90.00 and 90.00 degrees. The asymmetric unit holds Cs at (0.000, 0.500, 0.000), Tl at (0.000, 0.000, 0.500), Cd at (0.500, 0.500, 0.500) and Pt at (0.500, 0.500, 0.000).

=====

We find entry w to be the most stable, with the next structure 106 meV/atom higher.

=====

Entry w
The following is a PBE calculation of a geometry-optimized CsRbCd4 structure, from Alexandria.

The total magnetization comes out at 0.0000 μB/atom. The density of states at the Fermi level comes out at 14.1 states/eV per cell.

The space group is F-43m (No. 216) and the conventional cell measures 9.459, 9.459 and 9.459 Å, with angles of 90.00, 90.00 and 90.00 degrees. The asymmetric unit holds Cs at (0.000, 0.000, 0.000), Rb at (0.250, 0.250, 0.250) and Cd at (0.123, 0.123, 0.623).

=====

Entry x
The following is a PBE calculation of a geometry-optimized CsRbCd4 structure, from Alexandria.

The total magnetization comes out at 0.0000 μB/atom. The density of states at the Fermi level comes out at 5.7 states/eV per cell.

The space group is Imm2 (No. 44) and the conventional cell measures 5.428, 9.092 and 8.994 Å, with angles of 90.00, 90.00 and 90.00 degrees. The asymmetric unit holds Cs at (0.000, 0.000, 0.000), Rb at (0.000, 0.500, 0.865), Cd at (0.000, 0.173, 0.592) and Cd at (0.000, 0.326, 0.266).

=====

We find entry x to be the most stable, with the next structure 11 meV/atom higher.

=====

Entry w
The following is a PBE calculation of a geometry-optimized CsRbCd structure, from Alexandria.

The total magnetization comes out at 0.0000 μB/atom. The density of states at the Fermi level comes out at 4.8 states/eV per cell.

The space group is I4mm (No. 107) and the conventional cell measures 4.787, 4.787 and 16.767 Å, with angles of 90.00, 90.00 and 90.00 degrees. The asymmetric unit holds Cs at (0.000, 0.000, 0.000), Rb at (0.000, 0.000, 0.266) and Cd at (0.000, 0.000, 0.639).

=====

Entry x
The following is a PBE calculation of a geometry-optimized CsRbCd structure, from Alexandria.

The total magnetization comes out at 0.0000 μB/atom. The density of states at the Fermi level comes out at 9.9 states/eV per cell.

The space group is Cmcm (No. 63) and the conventional cell measures 5.882, 24.741 and 5.421 Å, with angles of 90.00, 90.00 and 90.00 degrees. The asymmetric unit holds Cs at (0.000, 0.080, 0.250), Rb at (0.000, 0.308, 0.250) and Cd at (0.000, 0.473, 0.250).

=====

We find entry x to be the most stable, with the next structure 42 meV/atom higher.

=====

Entry w
The following is a PBE calculation of a geometry-optimized CsRbCd structure, from Alexandria.

The total magnetization comes out at 0.0000 μB/atom. The density of states at the Fermi level comes out at 1.8 states/eV per cell.

The space group is P3m1 (No. 156) and the conventional cell measures 6.4286, 6.4286 and 5.4477 Å, with angles of 90.00, 90.00 and 120.00 degrees. The asymmetric unit holds Cs at (0.0000, 0.0000, 0.0000), Rb at (0.6667, 0.3333, 0.4617) and Cd at (0.3333, 0.6667, 0.6700).

=====

Entry x
The following is a PBE calculation of a geometry-optimized CsRbCd structure, from Alexandria.

The total magnetization comes out at 0.0000 μB/atom. The density of states at the Fermi level comes out at 3.7 states/eV per cell.

The space group is F-43m (No. 216) and the conventional cell measures 9.314, 9.314 and 9.314 Å, with angles of 90.00, 90.00 and 90.00 degrees. The asymmetric unit holds Cs at (0.000, 0.000, 0.000), Rb at (0.000, 0.000, 0.500) and Cd at (0.250, 0.250, 0.750).

=====

We find entry x to be the most stable, with the next structure 36 meV/atom higher.

=====

Entry w
The following is a PBE calculation of a geometry-optimized Cs2RbCd structure, from Alexandria.

The total magnetization comes out at 0.0000 μB/atom. The density of states at the Fermi level comes out at 3.5 states/eV per cell.

The space group is P4/mmm (No. 123) and the conventional cell measures 6.726, 6.726 and 6.303 Å, with angles of 90.00, 90.00 and 90.00 degrees. The asymmetric unit holds Cs at (0.000, 0.500, 0.000), Rb at (0.000, 0.000, 0.500) and Cd at (0.500, 0.500, 0.500).

=====

Entry x
The following is a PBE calculation of a geometry-optimized Cs2RbCd structure, from Alexandria.

The total magnetization comes out at 0.0000 μB/atom. The density of states at the Fermi level comes out at 16.0 states/eV per cell.

The space group is R-3m (No. 166, hexagonal axes) and the conventional cell measures 5.0935, 5.0935 and 49.8282 Å, with angles of 90.00, 90.00 and 120.00 degrees. The asymmetric unit holds Cs at (0.0000, 0.0000, 0.0806), Rb at (0.0000, 0.0000, 0.5000) and Cd at (0.0000, 0.0000, 0.0000).

=====

We find entry w to be the most stable, with the next structure 119 meV/atom higher.

=====

Entry w
The following is a PBE calculation of a geometry-optimized Cs2RbCd2 structure, from Alexandria.

The total magnetization comes out at 0.0000 μB/atom. The density of states at the Fermi level comes out at 12.1 states/eV per cell.

The space group is I4/mmm (No. 139) and the conventional cell measures 6.204, 6.204 and 15.717 Å, with angles of 90.00, 90.00 and 90.00 degrees. The asymmetric unit holds Cs at (0.000, 0.500, 0.250), Rb at (0.000, 0.000, 0.000) and Cd at (0.000, 0.000, 0.408).

=====

Entry x
The following is a PBE calculation of a geometry-optimized Cs2RbCd2 structure, from Alexandria.

The total magnetization comes out at 0.0000 μB/atom. The density of states at the Fermi level comes out at 8.3 states/eV per cell.

The space group is C2/m (No. 12) and the conventional cell measures 15.096, 5.358 and 7.593 Å, with angles of 90.00, 101.27 and 90.00 degrees. The asymmetric unit holds Cs at (0.147, 0.000, 0.071), Rb at (0.000, 0.500, 0.500) and Cd at (0.231, 0.000, 0.576).

=====

Entry y
The following is a PBE calculation of a geometry-optimized Cs2RbCd2 structure, from Alexandria.

The total magnetization comes out at 0.0000 μB/atom. The density of states at the Fermi level comes out at 11.5 states/eV per cell.

The space group is P4/mbm (No. 127) and the conventional cell measures 10.087, 10.087 and 5.804 Å, with angles of 90.00, 90.00 and 90.00 degrees. The asymmetric unit holds Cs at (0.175, 0.325, 0.000), Rb at (0.000, 0.000, 0.500) and Cd at (0.107, 0.607, 0.500).

=====

Entry z
The following is a PBE calculation of a geometry-optimized Cs2RbCd2 structure, from Alexandria.

The total magnetization comes out at 0.0000 μB/atom. The density of states at the Fermi level comes out at 9.2 states/eV per cell.

The space group is P4/mbm (No. 127) and the conventional cell measures 11.280, 11.280 and 4.597 Å, with angles of 90.00, 90.00 and 90.00 degrees. The asymmetric unit holds Cs at (0.141, 0.359, 0.000), Rb at (0.000, 0.000, 0.000) and Cd at (0.150, 0.650, 0.500).

=====

We find entry y to be the most stable, with the next structure 9 meV/atom higher.